# TeBr

An optimized crystal structure of TeBr (GGA-PBEsol, the Alexandria database).

a b c (Å): 8.9865 8.9865 8.9865
angles (deg): 26.34 26.34 26.34
Closest atoms and distances in Å follow each position.
Sites, in units of the cell vectors:
Te (0.1321, 0.1321, 0.1321)  3 Te 2.97, 3 Br 3.05
Te (0.8679, 0.8679, 0.8679)  3 Te 2.97, 3 Br 3.05
Br (0.3911, 0.3911, 0.3911)  3 Te 3.05
Br (0.6089, 0.6089, 0.6089)  3 Te 3.05

The value obtained for the uncorrected formation energy is -0.19 eV/atom. The space group is R-3m (166).

=====

# RbSbCl2F

An optimized crystal structure of RbSbCl2F (GGA-PBEsol, the Alexandria database).

a b c (Å): 5.6405 5.6405 4.4033
angles (deg): 90.00 90.00 90.00
Closest atoms and distances in Å follow each position.
Sites, in units of the cell vectors:
Rb (0.0000, 0.0000, 0.0000)  8 Cl 3.58, 4 F 3.99
Sb (0.5000, 0.5000, 0.5000)  2 F 2.20
Cl (0.0000, 0.5000, 0.5000)  2 Sb 2.82
Cl (0.5000, 0.0000, 0.5000)  2 Sb 2.82
F (0.5000, 0.5000, 0.0000)  2 Sb 2.20

The value obtained for the uncorrected formation energy is -1.43 eV/atom. The space group is P4/mmm (123).

=====

Number 1: E -2.8903 eV/atom, calculated density 5.473 g/cm³. Number 2: E -3.7377 eV/atom, calculated density 3.522 g/cm³.